DFT (GGA-PBE) results for a relaxed LiLaPmFe crystal.

The structure in POSCAR format:
```
LiLaPmFe
1.0
-0.390 4.634 -2.038
1.527 0.810 -4.773
-3.422 0.891 -3.643
La Li Fe Pm
1 1 1 1
Cartesian
-0.571 1.584 -2.614
0.000 0.000 0.000
-1.142 3.168 -5.227
-1.713 4.751 -7.841
```

Formation enthalpy at 0 K, kJ per mole of atoms: 17
Density of states at the Fermi level, states/eV per cell: 4.31
Volume, Å³/cell: 93
Total magnetic moment, μB per formula unit: 0.8
Crystal system: cubic
E_tot, eV per atom: -4.84


DFT (GGA-PBE) results for a relaxed CeZn11Ni crystal.

The structure in POSCAR format:
```
CeZn11Ni
1.0
-0.998 4.075 2.738
-5.730 -0.814 3.601
2.891 -0.388 6.216
Ce Zn Ni
1 11 1
Cartesian
0.000 0.000 0.000
-0.947 0.907 2.929
-2.890 1.966 9.626
-4.324 1.312 5.493
0.487 1.561 7.061
-2.135 0.710 7.374
-1.702 2.163 5.180
-1.148 3.448 8.054
-2.689 -0.575 4.500
-2.865 -0.407 1.801
0.947 1.844 4.477
1.446 -0.194 3.108
-3.364 1.630 3.169
```

Formation enthalpy at 0 K, kJ per mole of atoms: -19
Density of states at the Fermi level, states/eV per cell: 9.34
Volume, Å³/cell: 204
Total magnetic moment, μB per formula unit: 0.8
Crystal system: monoclinic
E_tot, eV per atom: -2.17


DFT (GGA-PBE) results for a relaxed Ce2ScHg6 crystal.

The structure in POSCAR format:
```
Ce2ScHg6
1.0
3.327 0.000 0.002
0.003 7.555 4.344
0.002 0.015 8.715
Ce Sc Hg
2 1 6
Cartesian
0.002 2.523 4.353
3.331 5.047 8.709
0.000 0.000 0.000
1.662 5.078 2.921
1.672 7.560 7.204
1.671 2.493 10.141
1.666 5.082 5.779
1.661 0.010 5.858
1.666 2.489 7.282
```

Formation enthalpy at 0 K, kJ per mole of atoms: -30
Density of states at the Fermi level, states/eV per cell: 14.50
Volume, Å³/cell: 219
Total magnetic moment, μB per formula unit: 2.4
Crystal system: hexagonal
E_tot, eV per atom: -2.53


DFT (GGA-PBE) results for a relaxed YCr2Cd crystal.

The structure in POSCAR format:
```
YCr2Cd
1.0
5.050 -0.608 -0.365
1.580 4.835 0.365
-2.841 -2.857 3.126
Cd Cr Y
1 2 1
Cartesian
0.907 1.969 1.745
6.385 4.070 0.000
3.029 -0.506 1.381
3.413 2.176 0.000
```

Formation enthalpy at 0 K, kJ per mole of atoms: 26
Density of states at the Fermi level, states/eV per cell: 2.13
Volume, Å³/cell: 82
Total magnetic moment, μB per formula unit: 0.0
Crystal system: orthorhombic
E_tot, eV per atom: -6.39


DFT (GGA-PBE) results for a relaxed LaTb7Hg4 crystal.

The structure in POSCAR format:
```
LaTb7Hg4
1.0
-0.010 1.155 -5.626
-4.999 -6.189 -4.193
-6.856 3.217 -2.259
La Tb Hg
1 7 4
Cartesian
0.000 0.000 0.000
-8.068 -2.847 -9.364
-3.797 1.030 -2.713
-4.851 -2.717 -3.480
-7.014 0.899 -8.597
-8.734 -1.395 -6.134
-0.005 0.577 -2.813
-3.130 -0.423 -5.944
-5.725 0.977 -5.652
-6.139 -2.794 -6.425
-9.889 -0.216 -8.821
-1.975 -1.601 -3.257
```

Formation enthalpy at 0 K, kJ per mole of atoms: -11
Density of states at the Fermi level, states/eV per cell: 13.85
Volume, Å³/cell: 349
Total magnetic moment, μB per formula unit: 0.0
Crystal system: monoclinic
E_tot, eV per atom: -3.33


DFT (GGA-PBE) results for a relaxed Li2YPt3 crystal.

The structure in POSCAR format:
```
Li2YPt3
1.0
-5.250 0.705 1.336
-4.033 -4.880 -2.104
-2.010 -3.661 5.203
Li Y Pt
4 2 6
Cartesian
-7.043 -7.621 3.223
-4.512 -3.284 1.798
-6.780 -4.552 2.638
-4.249 -0.216 1.213
-1.774 -2.100 0.842
-9.518 -5.737 3.593
-3.486 -4.551 -0.128
-2.557 -3.991 3.227
-6.194 -4.248 0.242
-3.630 -1.478 3.269
-4.642 -2.088 -0.384
-5.099 -3.588 4.194
```

Formation enthalpy at 0 K, kJ per mole of atoms: -75
Density of states at the Fermi level, states/eV per cell: 6.37
Volume, Å³/cell: 198
Total magnetic moment, μB per formula unit: 0.0
Crystal system: orthorhombic
E_tot, eV per atom: -5.51


DFT (GGA-PBE) results for a relaxed Gd2PaGe crystal.

The structure in POSCAR format:
```
Gd2PaGe
1.0
-4.232 0.083 1.548
1.003 -3.495 2.929
1.254 3.095 3.264
Gd Ge Pa
2 1 1
Cartesian
0.627 1.547 1.632
0.501 -1.748 1.465
-2.116 0.041 0.774
-0.988 -0.159 3.870
```

Excess energy over the best structure of this formula in the dataset, meV per atom: 32
Formation enthalpy at 0 K, kJ per mole of atoms: -16
Density of states at the Fermi level, states/eV per cell: 6.28
Volume, Å³/cell: 98
Total magnetic moment, μB per formula unit: 14.1
Crystal system: tetragonal
E_tot, eV per atom: -10.73


DFT (GGA-PBE) results for a relaxed Pa3TlAu4O12 crystal.

The structure in POSCAR format:
```
Pa3TlAu4O12
1.0
-0.454 -7.332 -1.145
5.316 1.115 5.077
-6.435 2.161 3.034
Pa Tl Au O
3 1 4 12
Cartesian
2.077 -3.627 1.584
-3.811 -2.003 1.201
0.162 1.573 4.181
0.000 0.000 0.000
-2.980 -5.240 1.117
-3.060 1.581 5.072
3.682 -2.426 4.260
-0.786 -2.029 3.483
-2.833 -1.846 3.127
1.513 -5.678 1.877
1.432 1.219 5.875
-5.303 -1.626 2.698
3.573 -0.748 5.380
-4.759 0.742 4.368
-1.254 -6.290 1.063
3.668 -4.094 3.118
-1.299 2.321 5.733
-4.646 -4.102 1.237
0.256 -3.682 2.755
0.219 -0.557 4.567
```

Density of states at the Fermi level, states/eV per cell: 10.15
Volume, Å³/cell: 340
Total magnetic moment, μB per formula unit: 0.5
Formation energy from raw total energies, eV per atom: -1.745
Crystal system: trigonal
E_tot, eV per atom: -6.92


DFT (GGA-PBE) results for a relaxed YCd2Si crystal.

The structure in POSCAR format:
```
YCd2Si
1.0
4.152 0.000 0.000
0.000 4.152 0.000
2.076 2.076 11.079
Y Si Cd
2 2 4
Cartesian
0.000 0.000 0.000
4.152 2.076 5.540
2.076 2.076 0.000
2.076 4.152 5.540
3.065 1.038 2.770
1.087 3.114 2.770
3.114 3.163 8.309
5.190 5.142 8.309
```

Density of states at the Fermi level, states/eV per cell: 2.76
Volume, Å³/cell: 191
Total magnetic moment, μB per formula unit: 0.0
Formation energy from raw total energies, eV per atom: -0.119
Crystal system: tetragonal
E_tot, eV per atom: -3.55


DFT (GGA-PBE) results for a relaxed La2MgGaIr crystal.

The structure in POSCAR format:
```
La2MgGaIr
1.0
-4.086 3.811 -0.318
-2.894 -2.778 3.902
2.175 2.623 3.480
Mg Ir Ga La
1 1 1 2
Cartesian
-2.403 1.828 3.532
0.000 0.000 0.000
1.088 1.312 1.740
-1.447 -1.389 1.951
-2.043 1.905 -0.159
```

Excess energy over the best structure of this formula in the dataset, meV per atom: 0
Formation enthalpy at 0 K, kJ per mole of atoms: -38
Density of states at the Fermi level, states/eV per cell: 5.33
Volume, Å³/cell: 153
Total magnetic moment, μB per formula unit: 0.0
Crystal system: tetragonal
E_tot, eV per atom: -5.06


DFT (GGA-PBE) results for a relaxed SrP2SN crystal.

The structure in POSCAR format:
```
SrP2SN
1.0
6.287 0.000 0.000
0.000 6.287 0.000
0.000 0.000 5.666
Sr S N P
1 1 1 2
Cartesian
0.000 0.000 0.000
0.000 0.000 2.833
3.144 3.144 2.833
0.000 3.144 0.000
3.144 0.000 0.000
```

Excess energy over the best structure of this formula in the dataset, meV per atom: 1595
Density of states at the Fermi level, states/eV per cell: 6.84
Volume, Å³/cell: 224
Total magnetic moment, μB per formula unit: 7.3
Formation energy from raw total energies, eV per atom: 1.937
Crystal system: tetragonal
E_tot, eV per atom: -3.05


DFT (GGA-PBE) results for a relaxed Tb2Tm2Tl7 crystal.

The structure in POSCAR format:
```
Tb2Tm2Tl7
1.0
-1.209 -5.736 5.246
5.147 -0.823 -0.738
2.633 5.174 5.309
Tb Tm Tl
2 2 7
Cartesian
3.710 -0.861 8.060
2.860 -0.525 1.756
1.340 -3.065 5.044
5.231 1.680 4.772
2.670 2.760 3.199
3.378 -3.940 2.747
3.900 -4.146 6.617
3.192 2.554 7.070
0.000 0.000 0.000
4.413 -1.619 4.707
2.157 0.233 5.110
```

Formation enthalpy at 0 K, kJ per mole of atoms: -8
Density of states at the Fermi level, states/eV per cell: 6.65
Volume, Å³/cell: 320
Total magnetic moment, μB per formula unit: 0.0
Crystal system: monoclinic
E_tot, eV per atom: -3.24